(1)
First-principles (PBE) data for a relaxed structure of K2MgBe, as listed in Alexandria.

ΔH_f (0 K)   490 meV/atom
Total DFT energy (no corrections)   -1.389 eV/atom
Polymorph energy (0 for the lowest one)   0 meV per atom

abc: 7.644 4.784 9.551
angles: 90.00 106.75 90.00
Space group Cm (No. 8)
Unique sites:
K 0.000 0.000 0.000 [2 per cell]
K 0.199 0.000 0.551 [2 per cell]
Mg 0.435 0.000 0.276 [2 per cell]
Be 0.284 0.500 0.276 [2 per cell]

(2)
First-principles (PBE) data for a relaxed structure of Tm4Al12Ir, as listed in Alexandria.

ΔH_f (0 K)   -527 meV/atom
Total DFT energy (no corrections)   -4.742 eV/atom

abc: 8.584 8.584 8.584
angles: 90.00 90.00 90.00
Space group Im-3m (No. 229)
Unique sites:
Tm 0.250 0.250 0.250 [8 per cell]
Al 0.000 0.000 0.289 [12 per cell]
Al 0.000 0.250 0.500 [12 per cell]
Ir 0.000 0.000 0.000 [2 per cell]

(3)
First-principles (PBE) data for a relaxed structure of MgCuSiS2, as listed in Alexandria.

Raw formation energy   1.6 eV per formula unit
Total DFT energy (no corrections)   -3.562 eV/atom

abc: 4.813 4.813 4.286
angles: 90.00 90.00 90.00
Space group P4/mmm (No. 123)
Unique sites:
Mg 0.000 0.000 0.000 [1 per cell]
Cu 0.500 0.500 0.500 [1 per cell]
Si 0.500 0.500 0.000 [1 per cell]
S 0.000 0.500 0.500 [2 per cell]

(4)
First-principles (PBE) data for a relaxed structure of TaRuRh2, as listed in Alexandria.

ΔH_f (0 K)   -311 meV/atom
Total DFT energy (no corrections)   -9.269 eV/atom
Polymorph energy (0 for the lowest one)   162 meV per atom

abc: 5.494 7.742 2.808
angles: 90.00 90.00 90.00
Space group Cmmm (No. 65)
Unique sites:
Ta 0.000 0.000 0.000 [2 per cell]
Ru 0.000 0.500 0.000 [2 per cell]
Rh 0.250 0.250 0.500 [4 per cell]

(5)
First-principles (PBE) data for a relaxed structure of Er6PbSe4, as listed in Alexandria.

Raw formation energy   -14.7 eV per formula unit
Total DFT energy (no corrections)   -5.432 eV/atom

abc: 3.989 13.352 20.807
angles: 90.00 90.00 90.00
Space group Cmcm (No. 63)
Unique sites:
Er 0.000 0.000 0.000 [4 per cell]
Er 0.000 0.141 0.250 [4 per cell]
Er 0.000 0.271 0.592 [8 per cell]
Er 0.000 0.447 0.163 [8 per cell]
Pb 0.000 0.179 0.750 [4 per cell]
Se 0.000 0.085 0.122 [8 per cell]
Se 0.000 0.358 0.037 [8 per cell]

(6)
First-principles (PBE) data for a relaxed structure of Sb3Te2, as listed in Alexandria.

Raw formation energy   0.3 eV per formula unit
Total DFT energy (no corrections)   -3.662 eV/atom
Polymorph energy (0 for the lowest one)   116 meV per atom

abc: 13.413 13.920 6.551
angles: 90.00 90.00 90.00
Space group Fdd2 (No. 43)
Unique sites:
Sb 0.000 0.000 0.000 [8 per cell]
Sb 0.058 0.138 0.383 [16 per cell]
Te 0.100 0.203 0.816 [16 per cell]

(7)
First-principles (PBE) data for a relaxed structure of YReAu2, as listed in Alexandria.

ΔH_f (0 K)   150 meV/atom
Total DFT energy (no corrections)   -6.217 eV/atom
Polymorph energy (0 for the lowest one)   123 meV per atom

abc: 6.795 6.795 6.795
angles: 90.00 90.00 90.00
Space group Fm-3m (No. 225)
Unique sites:
Y 0.000 0.000 0.000 [4 per cell]
Re 0.000 0.000 0.500 [4 per cell]
Au 0.250 0.250 0.250 [8 per cell]

(8)
First-principles (PBE) data for a relaxed structure of RbNiIN2, as listed in Alexandria.

Raw formation energy   5.7 eV per formula unit
Total DFT energy (no corrections)   -3.857 eV/atom
Polymorph energy (0 for the lowest one)   0 meV per atom

abc: 4.380 4.380 5.472
angles: 90.00 90.00 90.00
Space group P4/mmm (No. 123)
Unique sites:
Rb 0.000 0.000 0.000 [1 per cell]
Ni 0.500 0.500 0.500 [1 per cell]
I 0.500 0.500 0.000 [1 per cell]
N 0.000 0.500 0.500 [2 per cell]

(9)
First-principles (PBE) data for a relaxed structure of Mn3P2, as listed in Alexandria.

ΔH_f (0 K)   -478 meV/atom
Total DFT energy (no corrections)   -8.144 eV/atom

abc: 8.752 3.164 8.759
angles: 90.00 90.00 90.00
Space group Pnma (No. 62)
Unique sites:
Mn 0.042 0.250 0.127 [4 per cell]
Mn 0.123 0.750 0.558 [4 per cell]
Mn 0.213 0.250 0.793 [4 per cell]
P 0.029 0.750 0.322 [4 per cell]
P 0.196 0.750 0.994 [4 per cell]

(10)
First-principles (PBE) data for a relaxed structure of Sc2Si2Au, as listed in Alexandria.

Raw formation energy   -3.8 eV per formula unit
Total DFT energy (no corrections)   -6.111 eV/atom
Polymorph energy (0 for the lowest one)   37 meV per atom

abc: 10.169 4.125 9.624
angles: 90.00 117.27 90.00
Space group C2/m (No. 12)
Unique sites:
Sc 0.005 0.000 0.185 [4 per cell]
Sc 0.183 0.000 0.598 [4 per cell]
Si 0.036 0.500 0.394 [4 per cell]
Si 0.129 0.500 0.070 [4 per cell]
Au 0.217 0.500 0.847 [4 per cell]

(11)
First-principles (PBE) data for a relaxed structure of Sr2CdCuH, as listed in Alexandria.

Total DFT energy (no corrections)   -2.530 eV/atom
Polymorph energy (0 for the lowest one)   0 meV per atom

abc: 5.540 5.540 3.875
angles: 90.00 90.00 90.00
Space group P4/mmm (No. 123)
Unique sites:
Sr 0.000 0.500 0.000 [2 per cell]
Cd 0.000 0.000 0.500 [1 per cell]
Cu 0.500 0.500 0.500 [1 per cell]
H 0.500 0.500 0.000 [1 per cell]

(12)
First-principles (PBE) data for a relaxed structure of LaPa2ZnN5, as listed in Alexandria.

Raw formation energy   -11.4 eV per formula unit
Total DFT energy (no corrections)   -8.695 eV/atom

abc: 6.620 6.620 11.380
angles: 90.00 90.00 90.00
Space group I4/mcm (No. 140)
Unique sites:
La 0.000 0.000 0.250 [4 per cell]
Pa 0.174 0.326 0.000 [8 per cell]
Zn 0.000 0.500 0.250 [4 per cell]
N 0.000 0.000 0.000 [4 per cell]
N 0.157 0.343 0.370 [16 per cell]

(13)
First-principles (PBE) data for a relaxed structure of Rb2GaSe, as listed in Alexandria.

Raw formation energy   -1.2 eV per formula unit
Total DFT energy (no corrections)   -2.411 eV/atom
Polymorph energy (0 for the lowest one)   0 meV per atom

abc: 12.807 12.807 5.450
angles: 90.00 90.00 90.00
Space group I-42d (No. 122)
Unique sites:
Rb 0.069 0.750 0.125 [8 per cell]
Ga 0.000 0.000 0.500 [4 per cell]
Se 0.000 0.000 0.000 [4 per cell]

(14)
First-principles (PBE) data for a relaxed structure of KFeHg2Ru, as listed in Alexandria.

ΔH_f (0 K)   607 meV/atom
Total DFT energy (no corrections)   -3.281 eV/atom

abc: 5.239 5.239 4.382
angles: 90.00 90.00 90.00
Space group P4/mmm (No. 123)
Unique sites:
K 0.000 0.000 0.000 [1 per cell]
Fe 0.500 0.500 0.500 [1 per cell]
Hg 0.000 0.500 0.500 [2 per cell]
Ru 0.500 0.500 0.000 [1 per cell]

(15)
First-principles (PBE) data for a relaxed structure of HgOsPt2O, as listed in Alexandria.

Raw formation energy   5.0 eV per formula unit
Total DFT energy (no corrections)   -4.718 eV/atom

abc: 4.075 4.075 4.927
angles: 90.00 90.00 90.00
Space group P4/mmm (No. 123)
Unique sites:
Hg 0.000 0.000 0.000 [1 per cell]
Os 0.500 0.500 0.000 [1 per cell]
Pt 0.000 0.500 0.500 [2 per cell]
O 0.000 0.000 0.500 [1 per cell]

(16)
First-principles (PBE) data for a relaxed structure of BeNbAg, as listed in Alexandria.

ΔH_f (0 K)   154 meV/atom
Total DFT energy (no corrections)   -5.395 eV/atom
Polymorph energy (0 for the lowest one)   171 meV per atom

abc: 2.724 4.548 7.319
angles: 83.83 82.94 89.81
Space group P1 (No. 1)
Unique sites:
Be 0.000 0.000 0.000 [1 per cell]
Be 0.144 0.395 0.780 [1 per cell]
Nb 0.258 0.943 0.314 [1 per cell]
Nb 0.571 0.481 0.087 [1 per cell]
Ag 0.615 0.879 0.720 [1 per cell]
Ag 0.749 0.414 0.487 [1 per cell]

(17)
First-principles (PBE) data for a relaxed structure of Tl3Cr2AgCl9, as listed in Alexandria.

Raw formation energy   -14.2 eV per formula unit
Total DFT energy (no corrections)   -4.000 eV/atom

abc: 7.0973 7.0973 8.7570
angles: 90.00 90.00 120.00
Space group P-3m1 (No. 164)
Unique sites:
Tl 0.0000 0.0000 0.0000 [1 per cell]
Tl 0.3333 0.6667 0.6528 [2 per cell]
Cr 0.3333 0.6667 0.1619 [2 per cell]
Ag 0.0000 0.0000 0.5000 [1 per cell]
Cl 0.0000 0.5000 0.0000 [3 per cell]
Cl 0.1750 0.3501 0.3175 [6 per cell]

(18)
First-principles (PBE) data for a relaxed structure of Tb2PaN, as listed in Alexandria.

Raw formation energy   -0.6 eV per formula unit
Total DFT energy (no corrections)   -6.930 eV/atom
Polymorph energy (0 for the lowest one)   372 meV per atom

abc: 3.129 3.129 8.275
angles: 90.00 90.00 90.00
Space group P4/mmm (No. 123)
Unique sites:
Tb 0.000 0.000 0.172 [2 per cell]
Pa 0.500 0.500 0.500 [1 per cell]
N 0.500 0.500 0.000 [1 per cell]

(19)
First-principles (PBE) data for a relaxed structure of DyNi8Pt3, as listed in Alexandria.

ΔH_f (0 K)   -215 meV/atom
Total DFT energy (no corrections)   -5.963 eV/atom

abc: 4.8223 4.8223 7.8099
angles: 90.00 90.00 120.00
Space group P3m1 (No. 156)
Unique sites:
Dy 0.0000 0.0000 0.0000 [1 per cell]
Ni 0.1653 0.3306 0.6773 [3 per cell]
Ni 0.3333 0.6667 0.4308 [1 per cell]
Ni 0.3333 0.6667 0.9303 [1 per cell]
Ni 0.5028 0.0057 0.1925 [3 per cell]
Pt 0.0000 0.0000 0.3796 [1 per cell]
Pt 0.6667 0.3333 0.4991 [1 per cell]
Pt 0.6667 0.3333 0.8675 [1 per cell]

(20)
First-principles (PBE) data for a relaxed structure of KCr4Hg, as listed in Alexandria.

ΔH_f (0 K)   1161 meV/atom
Total DFT energy (no corrections)   -5.488 eV/atom

abc: 7.371 7.371 7.371
angles: 90.00 90.00 90.00
Space group F-43m (No. 216)
Unique sites:
K 0.000 0.000 0.000 [4 per cell]
Cr 0.138 0.138 0.638 [16 per cell]
Hg 0.250 0.250 0.250 [4 per cell]